Record 1
Material: SnMo3Au
Method: DFT, PBE
State: optimized geometry

Cell lengths 4.892, 4.892, 4.892 Å; angles 90.00, 90.00, 90.00 degrees
Element x y z (fractional)
Sn1 0.000 0.000 0.000
Mo1 0.000 0.500 0.500
Mo2 0.500 0.000 0.500
Mo3 0.500 0.500 0.000
Au1 0.500 0.500 0.500

Final energy, hartree per atom: -0.21869
SG: No. 221
Crystal system: cubic


Record 2
Material: Th4TlPt2
Method: DFT, PBE
State: optimized geometry

Cell lengths 12.974, 12.974, 12.974 Å; angles 19.38, 19.38, 19.38 degrees
Element x y z (fractional)
Th1 0.109 0.109 0.109
Th2 0.302 0.302 0.302
Th3 0.698 0.698 0.698
Th4 0.891 0.891 0.891
Tl1 0.500 0.500 0.500
Pt1 0.403 0.403 0.403
Pt2 0.597 0.597 0.597

Final energy, hartree per atom: -0.25248
SG: No. 166
Crystal system: trigonal


Record 3
Material: Ag6BiAu23
Method: DFT, PBE
State: optimized geometry

Cell lengths 9.320, 9.320, 9.320 Å; angles 60.00, 60.00, 60.00 degrees
Element x y z (fractional)
Ag1 0.247 0.247 0.753
Ag2 0.247 0.753 0.247
Ag3 0.247 0.753 0.753
Ag4 0.753 0.247 0.247
Ag5 0.753 0.247 0.753
Ag6 0.753 0.753 0.247
Bi1 0.000 0.000 0.000
Au1 0.000 0.000 0.500
Au2 0.000 0.500 0.000
Au3 0.000 0.500 0.500
Au4 0.118 0.627 0.627
Au5 0.137 0.137 0.137
Au6 0.137 0.137 0.589
Au7 0.137 0.589 0.137
Au8 0.373 0.373 0.373
Au9 0.373 0.373 0.882
Au10 0.373 0.882 0.373
Au11 0.411 0.863 0.863
Au12 0.500 0.000 0.000
Au13 0.500 0.000 0.500
Au14 0.500 0.500 0.000
Au15 0.500 0.500 0.500
Au16 0.589 0.137 0.137
Au17 0.627 0.118 0.627
Au18 0.627 0.627 0.118
Au19 0.627 0.627 0.627
Au20 0.863 0.411 0.863
Au21 0.863 0.863 0.411
Au22 0.863 0.863 0.863
Au23 0.882 0.373 0.373

Final energy, hartree per atom: -0.11661
SG: No. 225
Crystal system: cubic


Record 4
Material: CrFeAsSe2
Method: DFT, PBE
State: optimized geometry

Cell lengths 4.800, 4.800, 4.662 Å; angles 90.00, 90.00, 90.00 degrees
Element x y z (fractional)
Cr1 0.000 0.000 0.000
Fe1 0.500 0.500 0.500
As1 0.000 0.000 0.500
Se1 0.000 0.500 0.000
Se2 0.500 0.000 0.000

Formation energy without anion corrections, eV/atom: 0.654
SG: No. 123
Crystal system: tetragonal